one.
# Ga2PdCl | Alexandria | PBE | relaxed
data_Ga2PdCl
_space_group_name_H-M_alt 'P 1'
_space_group_IT_number 1
_cell_length_a 7.347
_cell_length_b 7.347
_cell_length_c 7.347
_cell_angle_alpha 131.41
_cell_angle_beta 131.41
_cell_angle_gamma 71.17
loop_
_space_group_symop_operation_xyz
'x,y,z'
loop_
_atom_site_label
_atom_site_fract_x
_atom_site_fract_y
_atom_site_fract_z
Ga1 0.071 0.625 0.946
Ga2 0.375 0.321 0.446
Ga3 0.679 0.125 0.054
Ga4 0.875 0.929 0.554
Pd1 0.000 0.000 0.000
Pd2 0.750 0.250 0.500
Cl1 0.250 0.750 0.500
Cl2 0.500 0.500 0.000
# **D(E_F)**: 3.87 states/eV per cell
# **SG**: No. 122



two.
# Ga2PdCl | Alexandria | PBE | relaxed
data_Ga2PdCl
_space_group_name_H-M_alt 'P 1'
_space_group_IT_number 1
_cell_length_a 4.831
_cell_length_b 4.831
_cell_length_c 4.831
_cell_angle_alpha 60.00
_cell_angle_beta 60.00
_cell_angle_gamma 60.00
loop_
_space_group_symop_operation_xyz
'x,y,z'
loop_
_atom_site_label
_atom_site_fract_x
_atom_site_fract_y
_atom_site_fract_z
Ga1 0.250 0.250 0.250
Ga2 0.750 0.750 0.750
Pd1 0.000 0.000 0.000
Cl1 0.500 0.500 0.500
# **D(E_F)**: 1.40 states/eV per cell
# **SG**: No. 225



Taking the most stable structure as the zero point, the relative energies in meV/atom are one 0; two 241.



one.
# PmGaCl4 | Alexandria | PBE | relaxed
data_PmGaCl4
_space_group_name_H-M_alt 'P 1'
_space_group_IT_number 1
_cell_length_a 6.730
_cell_length_b 6.730
_cell_length_c 7.803
_cell_angle_alpha 100.06
_cell_angle_beta 100.06
_cell_angle_gamma 36.66
loop_
_space_group_symop_operation_xyz
'x,y,z'
loop_
_atom_site_label
_atom_site_fract_x
_atom_site_fract_y
_atom_site_fract_z
Pm1 0.000 0.000 0.000
Ga1 0.500 0.500 0.500
Cl1 0.109 0.109 0.329
Cl2 0.383 0.383 0.098
Cl3 0.617 0.617 0.902
Cl4 0.891 0.891 0.671
# **D(E_F)**: 0.00 states/eV per cell
# **SG**: No. 12



two.
# PmGaCl4 | Alexandria | PBE | relaxed
data_PmGaCl4
_space_group_name_H-M_alt 'P 1'
_space_group_IT_number 1
_cell_length_a 8.885
_cell_length_b 8.885
_cell_length_c 6.828
_cell_angle_alpha 109.01
_cell_angle_beta 109.01
_cell_angle_gamma 115.61
loop_
_space_group_symop_operation_xyz
'x,y,z'
loop_
_atom_site_label
_atom_site_fract_x
_atom_site_fract_y
_atom_site_fract_z
Pm1 0.086 0.914 0.750
Pm2 0.914 0.086 0.250
Ga1 0.333 0.667 0.250
Ga2 0.667 0.333 0.750
Cl1 0.054 0.630 0.835
Cl2 0.183 0.256 0.737
Cl3 0.256 0.183 0.237
Cl4 0.370 0.946 0.665
Cl5 0.630 0.054 0.335
Cl6 0.744 0.817 0.763
Cl7 0.817 0.744 0.263
Cl8 0.946 0.370 0.165
# **D(E_F)**: 0.00 states/eV per cell
# **SG**: No. 15



Taking the most stable structure as the zero point, the relative energies in meV/atom are one 14; two 0.



one.
# PmGaCl | Alexandria | PBE | relaxed
data_PmGaCl
_space_group_name_H-M_alt 'P 1'
_space_group_IT_number 1
_cell_length_a 4.177
_cell_length_b 4.177
_cell_length_c 10.959
_cell_angle_alpha 91.52
_cell_angle_beta 91.52
_cell_angle_gamma 60.01
loop_
_space_group_symop_operation_xyz
'x,y,z'
loop_
_atom_site_label
_atom_site_fract_x
_atom_site_fract_y
_atom_site_fract_z
Pm1 0.009 0.009 0.194
Pm2 0.991 0.991 0.806
Ga1 0.335 0.335 0.029
Ga2 0.665 0.665 0.971
Cl1 0.318 0.318 0.660
Cl2 0.682 0.682 0.340
# **D(E_F)**: 1.80 states/eV per cell
# **SG**: No. 12



two.
# PmGaCl | Alexandria | PBE | relaxed
data_PmGaCl
_space_group_name_H-M_alt 'P 1'
_space_group_IT_number 1
_cell_length_a 7.657
_cell_length_b 7.657
_cell_length_c 4.335
_cell_angle_alpha 90.00
_cell_angle_beta 90.00
_cell_angle_gamma 145.72
loop_
_space_group_symop_operation_xyz
'x,y,z'
loop_
_atom_site_label
_atom_site_fract_x
_atom_site_fract_y
_atom_site_fract_z
Pm1 0.118 0.882 0.750
Pm2 0.882 0.118 0.250
Ga1 0.457 0.543 0.750
Ga2 0.543 0.457 0.250
Cl1 0.249 0.751 0.250
Cl2 0.751 0.249 0.750
# **D(E_F)**: 2.15 states/eV per cell
# **SG**: No. 63



Taking the most stable structure as the zero point, the relative energies in meV/atom are one 0; two 175.



one.
# Pr2GaCl | Alexandria | PBE | relaxed
data_Pr2GaCl
_space_group_name_H-M_alt 'P 1'
_space_group_IT_number 1
_cell_length_a 8.817
_cell_length_b 8.817
_cell_length_c 8.817
_cell_angle_alpha 25.14
_cell_angle_beta 25.14
_cell_angle_gamma 25.14
loop_
_space_group_symop_operation_xyz
'x,y,z'
loop_
_atom_site_label
_atom_site_fract_x
_atom_site_fract_y
_atom_site_fract_z
Pr1 0.000 0.000 0.000
Pr2 0.172 0.172 0.172
Ga1 0.586 0.586 0.586
Cl1 0.754 0.754 0.754
# **D(E_F)**: 1.72 states/eV per cell
# **SG**: No. 160



two.
# Pr2GaCl | Alexandria | PBE | relaxed
data_Pr2GaCl
_space_group_name_H-M_alt 'P 1'
_space_group_IT_number 1
_cell_length_a 3.506
_cell_length_b 3.506
_cell_length_c 8.217
_cell_angle_alpha 90.00
_cell_angle_beta 90.00
_cell_angle_gamma 90.00
loop_
_space_group_symop_operation_xyz
'x,y,z'
loop_
_atom_site_label
_atom_site_fract_x
_atom_site_fract_y
_atom_site_fract_z
Pr1 0.000 0.000 0.236
Pr2 0.000 0.000 0.764
Ga1 0.500 0.500 0.000
Cl1 0.500 0.500 0.500
# **D(E_F)**: 2.05 states/eV per cell
# **SG**: No. 123



three.
# Pr2GaCl | Alexandria | PBE | relaxed
data_Pr2GaCl
_space_group_name_H-M_alt 'P 1'
_space_group_IT_number 1
_cell_length_a 5.996
_cell_length_b 5.996
_cell_length_c 12.139
_cell_angle_alpha 90.00
_cell_angle_beta 90.00
_cell_angle_gamma 90.00
loop_
_space_group_symop_operation_xyz
'x,y,z'
loop_
_atom_site_label
_atom_site_fract_x
_atom_site_fract_y
_atom_site_fract_z
Pr1 0.000 0.249 0.124
Pr2 0.000 0.251 0.626
Pr3 0.000 0.749 0.374
Pr4 0.000 0.751 0.876
Pr5 0.500 0.249 0.376
Pr6 0.500 0.251 0.874
Pr7 0.500 0.749 0.126
Pr8 0.500 0.751 0.624
Ga1 0.000 0.251 0.875
Ga2 0.000 0.749 0.125
Ga3 0.500 0.251 0.625
Ga4 0.500 0.749 0.375
Cl1 0.000 0.249 0.375
Cl2 0.000 0.751 0.625
Cl3 0.500 0.249 0.125
Cl4 0.500 0.751 0.875
# **D(E_F)**: 7.15 states/eV per cell
# **SG**: No. 53



Taking the most stable structure as the zero point, the relative energies in meV/atom are one 99; two 109; three 0.



one.
# Ga2PtCl | Alexandria | PBE | relaxed
data_Ga2PtCl
_space_group_name_H-M_alt 'P 1'
_space_group_IT_number 1
_cell_length_a 4.735
_cell_length_b 4.735
_cell_length_c 4.735
_cell_angle_alpha 60.00
_cell_angle_beta 60.00
_cell_angle_gamma 60.00
loop_
_space_group_symop_operation_xyz
'x,y,z'
loop_
_atom_site_label
_atom_site_fract_x
_atom_site_fract_y
_atom_site_fract_z
Ga1 0.250 0.250 0.250
Ga2 0.750 0.750 0.750
Pt1 0.000 0.000 0.000
Cl1 0.500 0.500 0.500
# **D(E_F)**: 2.77 states/eV per cell
# **SG**: No. 225



two.
# Ga2PtCl | Alexandria | PBE | relaxed
data_Ga2PtCl
_space_group_name_H-M_alt 'P 1'
_space_group_IT_number 1
_cell_length_a 7.249
_cell_length_b 7.249
_cell_length_c 7.249
_cell_angle_alpha 130.48
_cell_angle_beta 130.48
_cell_angle_gamma 72.64
loop_
_space_group_symop_operation_xyz
'x,y,z'
loop_
_atom_site_label
_atom_site_fract_x
_atom_site_fract_y
_atom_site_fract_z
Ga1 0.070 0.625 0.945
Ga2 0.375 0.320 0.445
Ga3 0.680 0.125 0.055
Ga4 0.875 0.930 0.555
Pt1 0.000 0.000 0.000
Pt2 0.750 0.250 0.500
Cl1 0.250 0.750 0.500
Cl2 0.500 0.500 0.000
# **D(E_F)**: 2.07 states/eV per cell
# **SG**: No. 122



three.
# Ga2PtCl | Alexandria | PBE | relaxed
data_Ga2PtCl
_space_group_name_H-M_alt 'P 1'
_space_group_IT_number 1
_cell_length_a 7.823
_cell_length_b 7.823
_cell_length_c 7.823
_cell_angle_alpha 27.26
_cell_angle_beta 27.26
_cell_angle_gamma 27.26
loop_
_space_group_symop_operation_xyz
'x,y,z'
loop_
_atom_site_label
_atom_site_fract_x
_atom_site_fract_y
_atom_site_fract_z
Ga1 0.105 0.105 0.105
Ga2 0.895 0.895 0.895
Pt1 0.500 0.500 0.500
Cl1 0.000 0.000 0.000
# **D(E_F)**: 1.01 states/eV per cell
# **SG**: No. 166



Taking the most stable structure as the zero point, the relative energies in meV/atom are one 541; two 219; three 0.



one.
# GaPt3Cl | Alexandria | PBE | relaxed
data_GaPt3Cl
_space_group_name_H-M_alt 'P 1'
_space_group_IT_number 1
_cell_length_a 4.612
_cell_length_b 4.612
_cell_length_c 4.612
_cell_angle_alpha 90.00
_cell_angle_beta 90.00
_cell_angle_gamma 90.00
loop_
_space_group_symop_operation_xyz
'x,y,z'
loop_
_atom_site_label
_atom_site_fract_x
_atom_site_fract_y
_atom_site_fract_z
Ga1 0.000 0.000 0.000
Pt1 0.000 0.500 0.500
Pt2 0.500 0.000 0.500
Pt3 0.500 0.500 0.000
Cl1 0.500 0.500 0.500
# **D(E_F)**: 1.31 states/eV per cell
# **SG**: No. 221



two.
# GaPt3Cl | Alexandria | PBE | relaxed
data_GaPt3Cl
_space_group_name_H-M_alt 'P 1'
_space_group_IT_number 1
_cell_length_a 4.713
_cell_length_b 4.713
_cell_length_c 4.713
_cell_angle_alpha 90.00
_cell_angle_beta 90.00
_cell_angle_gamma 90.00
loop_
_space_group_symop_operation_xyz
'x,y,z'
loop_
_atom_site_label
_atom_site_fract_x
_atom_site_fract_y
_atom_site_fract_z
Ga1 0.000 0.000 0.000
Pt1 0.000 0.000 0.500
Pt2 0.000 0.500 0.000
Pt3 0.500 0.000 0.000
Cl1 0.500 0.500 0.500
# **D(E_F)**: 1.77 states/eV per cell
# **SG**: No. 221



Taking the most stable structure as the zero point, the relative energies in meV/atom are one 117; two 0.